1.
DFT (PBE-GGA) results for AgSb after structural relaxation.

Output
Crystal system ... tetragonal
Energy above the most stable polymorph in this dataset ... 57 meV/atom

Unit cell a=9.417 b=9.417 c=4.625 alpha=90.00 beta=90.00 gamma=90.00
Space group I4/m (No. 87)
Inequivalent atoms, fractional coordinates:
Ag1 0.056 0.359 0.000 [8 per cell]
Sb1 0.105 0.200 0.500 [8 per cell]

***

2.
DFT (PBE-GGA) results for KBa3Bi after structural relaxation.

Output
Crystal system ... cubic
Energy above the most stable polymorph in this dataset ... 834 meV/atom
Formation energy ... 2.54 eV per formula unit

Unit cell a=6.568 b=6.568 c=6.568 alpha=90.00 beta=90.00 gamma=90.00
Space group Pm-3m (No. 221)
Inequivalent atoms, fractional coordinates:
K1 0.000 0.000 0.000 [1 per cell]
Ba1 0.000 0.000 0.500 [3 per cell]
Bi1 0.500 0.500 0.500 [1 per cell]

***

3.
DFT (PBE-GGA) results for Cd2HgAu after structural relaxation.

Output
Crystal system ... tetragonal
Energy above the most stable polymorph in this dataset ... 50 meV/atom
Formation energy ... -0.13 eV per formula unit

Unit cell a=3.826 b=3.826 c=5.918 alpha=90.00 beta=90.00 gamma=90.00
Space group P4mm (No. 99)
Inequivalent atoms, fractional coordinates:
Cd1 0.000 0.000 0.000 [1 per cell]
Cd2 0.500 0.500 0.277 [1 per cell]
Hg1 0.000 0.000 0.511 [1 per cell]
Au1 0.500 0.500 0.788 [1 per cell]

***

4.
DFT (PBE-GGA) results for B3PC after structural relaxation.

Output
Crystal system ... triclinic
Energy above the most stable polymorph in this dataset ... 144 meV/atom
Formation energy ... 1.96 eV per formula unit

Unit cell a=2.958 b=4.022 c=4.347 alpha=98.90 beta=103.13 gamma=94.78
Space group P1 (No. 1)
Inequivalent atoms, fractional coordinates:
B1 0.000 0.000 0.000 [1 per cell]
B2 0.129 0.779 0.296 [1 per cell]
B3 0.716 0.624 0.743 [1 per cell]
P1 0.533 0.291 0.004 [1 per cell]
C1 0.647 0.628 0.382 [1 per cell]

***

5.
DFT (PBE-GGA) results for Li2Tb2TmSn2 after structural relaxation.

Output
Crystal system ... trigonal
Formation energy ... -3.03 eV per formula unit

Unit cell a=4.7606 b=4.7606 c=26.4867 alpha=90.00 beta=90.00 gamma=120.00
Space group R-3m (No. 166, hexagonal axes)
Inequivalent atoms, fractional coordinates:
Li1 0.0000 0.0000 0.1026 [6 per cell]
Tb1 0.0000 0.0000 0.3719 [6 per cell]
Tm1 0.0000 0.0000 0.5000 [3 per cell]
Sn1 0.0000 0.0000 0.2348 [6 per cell]

***

Calculated Fermi-level density of states, 0.338, 1.227, 0.409, 0.147, 0.612 states/eV per atom (same order as the records).